Entry 1:
# Ba4Ru3O10 | Alexandria | SCAN | single point on PBEsol structure
# * M_tot: 0.1397 μB/atom
# * density of states at the Fermi level: 6.0 states/eV/f.u.
# * electronic total energy: -21.2639 eV/atom
data_Ba4Ru3O10
_space_group_name_H-M_alt 'C m c e'
_space_group_IT_number 64
_space_group_name_Hall '-C 2ac 2'
_cell_length_a 5.718
_cell_length_b 13.283
_cell_length_c 12.987
_cell_angle_alpha 90.00
_cell_angle_beta 90.00
_cell_angle_gamma 90.00
loop_
_atom_site_label
_atom_site_type_symbol
_atom_site_fract_x
_atom_site_fract_y
_atom_site_fract_z
_atom_site_occupancy
Ba1 Ba 0.000 0.038 0.138 1
Ba2 Ba 0.000 0.240 0.387 1
Ru1 Ru 0.000 0.000 0.500 1
Ru2 Ru 0.000 0.123 0.651 1
O1 O 0.000 0.036 0.348 1
O2 O 0.000 0.231 0.150 1
O3 O 0.228 0.110 0.534 1
O4 O 0.250 0.120 0.750 1

Entry 2:
# KReSe3 | Alexandria | SCAN | single point on PBEsol structure
# * M_tot: 0.4966 μB/atom
# * density of states at the Fermi level: 5.7 states/eV/f.u.
# * electronic total energy: -25.8835 eV/atom
data_KReSe3
_space_group_name_H-M_alt 'P m -3 m'
_space_group_IT_number 221
_space_group_name_Hall '-P 4 2 3'
_cell_length_a 5.343
_cell_length_b 5.343
_cell_length_c 5.343
_cell_angle_alpha 90.00
_cell_angle_beta 90.00
_cell_angle_gamma 90.00
loop_
_atom_site_label
_atom_site_type_symbol
_atom_site_fract_x
_atom_site_fract_y
_atom_site_fract_z
_atom_site_occupancy
K1 K 0.000 0.000 0.000 1
Re1 Re 0.500 0.500 0.500 1
Se1 Se 0.000 0.000 0.500 1

Entry 3:
# ZnInBiH2 | Alexandria | SCAN | single point on PBEsol structure
# * M_tot: 0.0000 μB/atom
# * density of states at the Fermi level: 1.4 states/eV/f.u.
# * electronic total energy: -26.1931 eV/atom
data_ZnInBiH2
_space_group_name_H-M_alt 'P 4/m m m'
_space_group_IT_number 123
_space_group_name_Hall '-P 4 2'
_cell_length_a 3.922
_cell_length_b 3.922
_cell_length_c 6.249
_cell_angle_alpha 90.00
_cell_angle_beta 90.00
_cell_angle_gamma 90.00
loop_
_atom_site_label
_atom_site_type_symbol
_atom_site_fract_x
_atom_site_fract_y
_atom_site_fract_z
_atom_site_occupancy
Zn1 Zn 0.000 0.000 0.000 1
In1 In 0.500 0.500 0.500 1
Bi1 Bi 0.500 0.500 0.000 1
H1 H 0.000 0.500 0.500 1

Entry 4:
# Zr3Ni3Sb4 | Alexandria | SCAN | single point on PBEsol structure
# * M_tot: 0.0000 μB/atom
# * density of states at the Fermi level: 0.1 states/eV/f.u.
# * electronic total energy: -29.7234 eV/atom
data_Zr3Ni3Sb4
_space_group_name_H-M_alt 'I -4 3 d'
_space_group_IT_number 220
_space_group_name_Hall 'I -4bd 2c 3'
_cell_length_a 9.014
_cell_length_b 9.014
_cell_length_c 9.014
_cell_angle_alpha 90.00
_cell_angle_beta 90.00
_cell_angle_gamma 90.00
loop_
_atom_site_label
_atom_site_type_symbol
_atom_site_fract_x
_atom_site_fract_y
_atom_site_fract_z
_atom_site_occupancy
Zr1 Zr 0.000 0.250 0.375 1
Ni1 Ni 0.000 0.250 0.875 1
Sb1 Sb 0.083 0.083 0.083 1

Entry 5:
# CsCu3Pt | Alexandria | SCAN | single point on PBEsol structure
# * M_tot: 0.0000 μB/atom
# * density of states at the Fermi level: 3.0 states/eV/f.u.
# * electronic total energy: -30.2377 eV/atom
data_CsCu3Pt
_space_group_name_H-M_alt 'P m -3 m'
_space_group_IT_number 221
_space_group_name_Hall '-P 4 2 3'
_cell_length_a 4.831
_cell_length_b 4.831
_cell_length_c 4.831
_cell_angle_alpha 90.00
_cell_angle_beta 90.00
_cell_angle_gamma 90.00
loop_
_atom_site_label
_atom_site_type_symbol
_atom_site_fract_x
_atom_site_fract_y
_atom_site_fract_z
_atom_site_occupancy
Cs1 Cs 0.000 0.000 0.000 1
Cu1 Cu 0.000 0.500 0.500 1
Pt1 Pt 0.500 0.500 0.500 1

Entry 6:
# AgPt4Pb | Alexandria | SCAN | single point on PBEsol structure
# * M_tot: 0.0001 μB/atom
# * density of states at the Fermi level: 3.1 states/eV/f.u.
# * electronic total energy: -64.7083 eV/atom
data_AgPt4Pb
_space_group_name_H-M_alt 'F -4 3 m'
_space_group_IT_number 216
_space_group_name_Hall 'F -4 2 3'
_cell_length_a 7.517
_cell_length_b 7.517
_cell_length_c 7.517
_cell_angle_alpha 90.00
_cell_angle_beta 90.00
_cell_angle_gamma 90.00
loop_
_atom_site_label
_atom_site_type_symbol
_atom_site_fract_x
_atom_site_fract_y
_atom_site_fract_z
_atom_site_occupancy
Ag1 Ag 0.000 0.000 0.000 1
Pt1 Pt 0.125 0.125 0.375 1
Pb1 Pb 0.250 0.250 0.750 1